Here is an optimized crystal structure of NdBe4 from Alexandria via LeMat-Bulk. Energies are from PBE.

a b c (Å): 5.0315 5.0315 5.0315
angles (deg): 90.00 90.00 90.00
Fractional coordinates of all 5 atoms:
Nd 0.0000 0.0000 0.0000
Be 0.0000 0.0000 0.5000
Be 0.0000 0.5000 0.0000
Be 0.5000 0.0000 0.0000
Be 0.5000 0.5000 0.5000

## Properties
space group	Pm-3m
calculated formation energy	2345	meV/atom
M_tot	0.000	μB per atom



Here is an optimized crystal structure of Nd3Be from Alexandria via LeMat-Bulk. Energies are from PBE.

a b c (Å): 3.4625 3.5524 9.8389
angles (deg): 90.00 90.00 90.00
Fractional coordinates of all 4 atoms:
Nd 0.0000 0.0000 0.0000
Nd 0.0000 0.5000 0.3964
Nd 0.5000 0.5000 0.7230
Be 0.5000 0.0000 0.2394

## Properties
space group	Pmm2
calculated formation energy	362	meV/atom
M_tot	0.000	μB per atom



Here is an optimized crystal structure of Nd2BeNi from Alexandria via LeMat-Bulk. Energies are from PBE.

a b c (Å): 9.3497 9.3497 9.3497
angles (deg): 24.62 24.62 24.62
Fractional coordinates of all 4 atoms:
Nd 0.1105 0.1105 0.1105
Nd 0.8895 0.8895 0.8895
Be 0.0000 0.0000 0.0000
Ni 0.5000 0.5000 0.5000

## Properties
space group	R-3m
calculated formation energy	650	meV/atom
M_tot	0.000	μB per atom



Here is an optimized crystal structure of NdBe2Ni5 from Alexandria via LeMat-Bulk. Energies are from PBE.

a b c (Å): 5.7380 5.7380 5.7380
angles (deg): 143.53 114.06 77.77
Fractional coordinates of all 8 atoms:
Nd 0.0000 0.0000 0.0000
Be 0.2689 0.7689 0.5000
Be 0.7311 0.2311 0.5000
Ni 0.1569 0.3476 0.8093
Ni 0.4617 0.6524 0.8093
Ni 0.5000 0.0000 0.5000
Ni 0.5383 0.3476 0.1907
Ni 0.8431 0.6524 0.1907

## Properties
space group	Immm
calculated formation energy	-288	meV/atom
M_tot	0.000	μB per atom



Here is an optimized crystal structure of NdBe3Ni from Alexandria via LeMat-Bulk. Energies are from PBE.

a b c (Å): 4.1620 4.1620 4.1620
angles (deg): 90.00 90.00 90.00
Fractional coordinates of all 5 atoms:
Nd 0.0000 0.0000 0.0000
Be 0.0000 0.5000 0.5000
Be 0.5000 0.0000 0.5000
Be 0.5000 0.5000 0.0000
Ni 0.5000 0.5000 0.5000

## Properties
space group	Pm-3m
calculated formation energy	-80	meV/atom
M_tot	0.000	μB per atom